(1)
Computed, not measured: MgCo2Ni at its PBEsol-relaxed geometry at the SCAN level of DFT.

Results
Magnetization in μB per formula unit: 3.90
ΔE_f in kJ/mol of formula units: 37
Raw total energy in eV per atom: -13.84
Crystal system: monoclinic
D(E_F) in states/eV per atom: 0.64

Cell and atoms, written as POSCAR:
```
MgCo2Ni
1.0
2.430 -4.110 0.000
2.430 4.110 0.000
-0.842 0.000 2.335
Mg Co Ni
1 2 1
Direct
0.000 0.000 0.000
0.000 0.500 0.500
0.500 0.000 0.500
0.500 0.500 0.000
```

(2)
Computed, not measured: TiNbCo2Ag at its PBEsol-relaxed geometry at the SCAN level of DFT.

Results
Magnetization in μB per formula unit: 3.03
ΔE_f in kJ/mol of formula units: 536
Raw total energy in eV per atom: -21.92
Crystal system: tetragonal
D(E_F) in states/eV per atom: 0.57

Cell and atoms, written as POSCAR:
```
TiNbCo2Ag
1.0
4.123 0.000 0.000
0.000 4.123 0.000
0.000 0.000 4.741
Ti Nb Co Ag
1 1 2 1
Direct
0.000 0.000 0.000
0.500 0.500 0.500
0.000 0.500 0.000
0.500 0.000 0.000
0.000 0.000 0.500
```

(3)
Computed, not measured: Y2Ge3Pt9 at its PBEsol-relaxed geometry at the SCAN level of DFT.

Results
Magnetization in μB per formula unit: 0.00
ΔE_f in kJ/mol of formula units: -1224
Raw total energy in eV per atom: -54.10
Crystal system: monoclinic
D(E_F) in states/eV per atom: 0.34

Cell and atoms, written as POSCAR:
```
Y2Ge3Pt9
1.0
6.673 -3.869 0.000
6.673 3.869 0.000
-4.503 0.000 8.911
Y Ge Pt
4 6 18
Direct
0.084 0.255 0.251
0.255 0.084 0.751
0.745 0.916 0.249
0.916 0.745 0.749
0.000 0.500 0.000
0.139 0.682 0.503
0.318 0.861 0.997
0.500 0.000 0.500
0.682 0.139 0.003
0.861 0.318 0.497
0.024 0.858 0.077
0.142 0.976 0.423
0.196 0.359 0.580
0.204 0.586 0.258
0.301 0.477 0.926
0.359 0.196 0.080
0.368 0.632 0.750
0.414 0.796 0.242
0.477 0.301 0.426
0.523 0.699 0.574
0.586 0.204 0.758
0.632 0.368 0.250
0.641 0.804 0.920
0.699 0.523 0.074
0.796 0.414 0.742
0.804 0.641 0.420
0.858 0.024 0.577
0.976 0.142 0.923
```

(4)
Computed, not measured: CaAlAu2 at its PBEsol-relaxed geometry at the SCAN level of DFT.

Results
Magnetization in μB per formula unit: 0.00
ΔE_f in kJ/mol of formula units: -179
Raw total energy in eV per atom: -39.40
Crystal system: cubic
D(E_F) in states/eV per atom: 0.38

Cell and atoms, written as POSCAR:
```
CaAlAu2
1.0
0.000 3.354 3.354
3.354 0.000 3.354
3.354 3.354 0.000
Ca Al Au
1 1 2
Direct
0.000 0.000 0.000
0.750 0.750 0.750
0.250 0.250 0.250
0.500 0.500 0.500
```

(5)
Computed, not measured: Ca2SnCl at its PBEsol-relaxed geometry at the SCAN level of DFT.

Results
Magnetization in μB per formula unit: 1.03
Raw total energy in eV per atom: -16.83
Formation energy (no corrections) in eV/f.u.: -4.10
Crystal system: cubic
D(E_F) in states/eV per atom: 0.98

Cell and atoms, written as POSCAR:
```
Ca2SnCl
1.0
0.000 3.772 3.772
3.772 0.000 3.772
3.772 3.772 0.000
Ca Sn Cl
2 1 1
Direct
0.250 0.250 0.250
0.750 0.750 0.750
0.000 0.000 0.000
0.500 0.500 0.500
```

(6)
Computed, not measured: Ag5Pb4 at its PBEsol-relaxed geometry at the SCAN level of DFT.

Results
Magnetization in μB per formula unit: 0.00
ΔE_f in kJ/mol of formula units: 112
Raw total energy in eV per atom: -50.98
Crystal system: tetragonal
D(E_F) in states/eV per atom: 0.40

Cell and atoms, written as POSCAR:
```
Ag5Pb4
1.0
-4.727 4.727 2.211
4.727 -4.727 2.211
4.727 4.727 -2.211
Ag Pb
5 4
Direct
0.000 0.000 0.000
0.344 0.344 0.689
0.344 0.656 0.000
0.656 0.344 0.000
0.656 0.656 0.311
0.000 0.310 0.310
0.000 0.690 0.690
0.310 0.000 0.310
0.690 0.000 0.690
```

(7)
Computed, not measured: LaIO2F at its PBEsol-relaxed geometry at the SCAN level of DFT.

Results
Magnetization in μB per formula unit: 1.62
Raw total energy in eV per atom: -20.48
Formation energy (no corrections) in eV/f.u.: -6.53
Crystal system: tetragonal
D(E_F) in states/eV per atom: 0.24

Cell and atoms, written as POSCAR:
```
LaIO2F
1.0
4.182 0.000 0.000
0.000 4.182 0.000
0.000 0.000 7.016
La I O F
1 1 2 1
Direct
0.000 0.000 0.000
0.000 0.000 0.500
0.000 0.500 0.000
0.500 0.000 0.000
0.500 0.500 0.500
```

(8)
Computed, not measured: Mo2WAu at its PBEsol-relaxed geometry at the SCAN level of DFT.

Results
Magnetization in μB per formula unit: 0.00
ΔE_f in kJ/mol of formula units: 46
Raw total energy in eV per atom: -52.04
Energy above the most stable polymorph in this dataset in meV per atom: 0.0
Crystal system: orthorhombic
D(E_F) in states/eV per atom: 0.56

Cell and atoms, written as POSCAR:
```
Mo2WAu
1.0
1.609 -2.178 0.000
1.609 2.178 0.000
0.000 0.000 8.986
Mo W Au
2 1 1
Direct
0.000 0.000 0.242
0.000 0.000 0.758
0.500 0.500 0.000
0.500 0.500 0.500
```

(9)
Computed, not measured: SrPb3S at its PBEsol-relaxed geometry at the SCAN level of DFT.

Results
Magnetization in μB per formula unit: 3.13
Raw total energy in eV per atom: -50.80
Formation energy (no corrections) in eV/f.u.: 5.24
Crystal system: cubic
D(E_F) in states/eV per atom: 0.93

Cell and atoms, written as POSCAR:
```
SrPb3S
1.0
5.993 0.000 0.000
0.000 5.993 0.000
0.000 0.000 5.993
Sr Pb S
1 3 1
Direct
0.000 0.000 0.000
0.000 0.000 0.500
0.000 0.500 0.000
0.500 0.000 0.000
0.500 0.500 0.500
```

(10)
Computed, not measured: CrCoHg at its PBEsol-relaxed geometry at the SCAN level of DFT.

Results
Magnetization in μB per formula unit: 5.82
ΔE_f in kJ/mol of formula units: 227
Raw total energy in eV per atom: -33.83
Crystal system: cubic
D(E_F) in states/eV per atom: 1.15

Cell and atoms, written as POSCAR:
```
CrCoHg
1.0
0.000 3.014 3.014
3.014 0.000 3.014
3.014 3.014 0.000
Cr Co Hg
1 1 1
Direct
0.000 0.000 0.000
0.500 0.500 0.500
0.750 0.750 0.750
```

(11)
Computed, not measured: CuPt5 at its PBEsol-relaxed geometry at the SCAN level of DFT.

Results
Magnetization in μB per formula unit: 0.00
ΔE_f in kJ/mol of formula units: 13
Raw total energy in eV per atom: -61.01
Crystal system: orthorhombic
D(E_F) in states/eV per atom: 1.54

Cell and atoms, written as POSCAR:
```
CuPt5
1.0
4.567 0.000 0.000
0.000 1.358 7.042
0.000 -1.358 7.042
Cu Pt
1 5
Direct
0.000 0.000 0.000
0.000 0.338 0.338
0.000 0.662 0.662
0.500 0.222 0.222
0.500 0.554 0.554
0.500 0.889 0.889
```

(12)
Computed, not measured: BeTl2Hg2 at its PBEsol-relaxed geometry at the SCAN level of DFT.

Results
Magnetization in μB per formula unit: 0.00
ΔE_f in kJ/mol of formula units: 317
Raw total energy in eV per atom: -56.42
Crystal system: tetragonal
D(E_F) in states/eV per atom: 0.44

Cell and atoms, written as POSCAR:
```
BeTl2Hg2
1.0
-2.083 2.083 7.615
2.083 -2.083 7.615
2.083 2.083 -7.615
Be Tl Hg
1 2 2
Direct
0.000 0.000 0.000
0.250 0.750 0.500
0.750 0.250 0.500
0.411 0.411 0.000
0.589 0.589 0.000
```

Which of these has the lowest raw total energy? CuPt5

The lowest D(E_F) belongs to which entry? LaIO2F